(1)
The following is a PBE calculation of a geometry-optimized NpSi2Ni structure, from OQMD via LeMat-Bulk.

The structure in POSCAR format:
```
NpSi2Ni
1.0
-3.3058 7.3733 1.7995
-0.4249 -7.5771 -3.3073
-1.3268 -1.4437 3.4780
Si Np Ni
4 2 2
Direct
0.2492 0.7508 0.2500
0.4598 0.5402 0.7500
0.7508 0.2492 0.7500
0.5402 0.4598 0.2500
0.1029 0.8971 0.7500
0.8971 0.1029 0.2500
0.3198 0.6802 0.7500
0.6802 0.3198 0.2500
```

Results
E_tot: -7.8250 eV/atom
space group: Cmcm
volume: 64.6 Å³/f.u.

(2)
The following is a PBE calculation of a geometry-optimized LiIrSeO structure, from OQMD via LeMat-Bulk.

The structure in POSCAR format:
```
LiIrSeO
1.0
-2.3221 -0.0572 2.7927
2.7932 -0.0741 2.3210
0.0457 8.1075 0.2039
Li Se O Ir
2 2 2 2
Direct
0.7500 0.2500 0.5000
0.2500 0.7500 0.5000
0.2500 0.2500 0.7166
0.7500 0.7500 0.2834
0.7500 0.2500 0.0000
0.2500 0.7500 0.0000
0.2500 0.2500 0.1531
0.7500 0.7500 0.8469
```

Results
space group: P4/nmm
volume: 53.5 Å³/f.u.
excess energy over the best structure of this formula in the dataset: 14.53 kcal/mol of atoms

- volume of number 1 (NpSi2Ni)?
  64.6 Å³/f.u.

- The lowest volume belongs to which entry?
  LiIrSeO

What did the first record say?
The following is a PBE calculation of a geometry-optimized NpSi2Ni structure, from OQMD via LeMat-Bulk.

The structure in POSCAR format:
```
NpSi2Ni
1.0
-3.3058 7.3733 1.7995
-0.4249 -7.5771 -3.3073
-1.3268 -1.4437 3.4780
Si Np Ni
4 2 2
Direct
0.2492 0.7508 0.2500
0.4598 0.5402 0.7500
0.7508 0.2492 0.7500
0.5402 0.4598 0.2500
0.1029 0.8971 0.7500
0.8971 0.1029 0.2500
0.3198 0.6802 0.7500
0.6802 0.3198 0.2500
```

Results
E_tot: -7.8250 eV/atom
space group: Cmcm
volume: 64.6 Å³/f.u.